A geometry-optimized PmZnGaRu structure. Source: Alexandria, functional PBE-GGA.

a b c (Å): 6.6386 6.6386 6.6386
angles (deg): 90.00 90.00 90.00
Closest atoms and distances in Å follow each position.
Space group F-43m (No. 216)
Asymmetric unit:
Pm: 0.0000 0.0000 0.0000 (multiplicity 4)  4 Zn 2.87, 4 Ga 2.87
Zn: 0.2500 0.2500 0.7500 (multiplicity 4)  4 Ru 2.87, 4 Pm 2.87
Ga: 0.2500 0.2500 0.2500 (multiplicity 4)  4 Pm 2.87, 4 Ru 2.87
Ru: 0.0000 0.0000 0.5000 (multiplicity 4)  4 Ga 2.87, 4 Zn 2.87

Computed properties:
ΔE_f: -0.189 eV per atom
DOS(E_F): 21.21 states/eV/cell
E_tot: -76.34 eV per cell